First-principles (GGA+U) data for MgMoO2 after structural relaxation, as listed in Alexandria.

The structure in POSCAR format:
```
MgMoO2
1.0
5.447 0.000 0.000
0.000 5.447 0.000
2.724 2.724 3.670
O Mo Mg
4 2 2
direct
0.586 0.125 0.250 O
0.164 0.625 0.250 O
0.875 0.836 0.750 O
0.375 0.414 0.750 O
0.750 0.250 0.500 Mo
0.000 0.000 0.000 Mo
0.250 0.750 0.500 Mg
0.500 0.500 0.000 Mg
```

Values from the calculation:
- calculated volume (Å³/atom) = 13.612
- E (Ry/atom) = -0.44889